The following is a PBE-GGA calculation of a relaxed structure of BaAgSn2S6, from the Alexandria database.

Unit cell a=6.902 b=9.797 c=9.797 alpha=74.44 beta=64.94 gamma=64.94
Fractional positions:
Sn: 0.427 0.839 0.627
Ag: 0.750 0.897 0.103
Sn: 0.073 0.373 0.161
S: 0.702 0.384 0.357
S: 0.298 0.616 0.643
S: 0.922 0.021 0.181
S: 0.078 0.979 0.819
S: 0.202 0.357 0.384
S: 0.578 0.819 0.979
Ag: 0.250 0.103 0.897
Sn: 0.927 0.627 0.839
Ba: 0.750 0.309 0.691
Sn: 0.573 0.161 0.373
S: 0.798 0.643 0.616
Ba: 0.250 0.691 0.309
S: 0.909 0.376 0.946
S: 0.409 0.946 0.376
S: 0.591 0.054 0.624
S: 0.422 0.181 0.021
S: 0.091 0.624 0.054

- density (g cm⁻³) = 4.148
- volume (Å³ per atom) = 27.0
- M_tot (μB per cell) = 0.00
- uncorrected formation energy (meV per atom) = -607

The following is a PBE-GGA calculation of a relaxed structure of MgFe2CoAs, from the Alexandria database.

Unit cell a=4.405 b=4.351 c=4.405 alpha=90.00 beta=90.00 gamma=90.00
Fractional positions:
Fe: 0.000 0.000 0.500
Fe: 0.500 0.000 0.000
Co: 0.000 0.500 0.000
Mg: 0.500 0.500 0.500
As: 0.000 0.000 0.000

- density (g cm⁻³) = 5.307
- volume (Å³ per atom) = 16.9
- M_tot (μB per cell) = 5.62
- DFT formation energy (kJ/mol of atoms) = 44

> Which of these has the highest density?

MgFe2CoAs